(1)
This record from OQMD describes Be2ReSn after structural relaxation. The functional is PBE.

The total energy comes out at -5.255 eV per atom.

The space group is F-43m (No. 216) and the conventional cell measures 6.099, 6.099 and 6.099 Å, with angles of 90.00, 90.00 and 90.00 degrees. The asymmetric unit holds Be at (0.000, 0.000, 0.000), Be at (0.250, 0.250, 0.250), Re at (0.250, 0.250, 0.750) and Sn at (0.000, 0.000, 0.500).

---

(2)
This record from OQMD describes TaBeReSn after structural relaxation. The functional is PBE.

The total energy comes out at -7.496 eV per atom. Its relative energy among the computed polymorphs is 29.1 kJ per mole of atoms.

The space group is F-43m (No. 216) and the conventional cell measures 6.319, 6.319 and 6.319 Å, with angles of 90.00, 90.00 and 90.00 degrees. The asymmetric unit holds Ta at (0.000, 0.000, 0.000), Be at (0.250, 0.250, 0.750), Re at (0.000, 0.000, 0.500) and Sn at (0.250, 0.250, 0.250).

---

(3)
This record from OQMD describes TaBeReSn after structural relaxation. The functional is PBE.

The total energy comes out at -7.797 eV per atom. Its relative energy among the computed polymorphs is 0.0 kJ per mole of atoms.

The space group is F-43m (No. 216) and the conventional cell measures 6.330, 6.330 and 6.330 Å, with angles of 90.00, 90.00 and 90.00 degrees. The asymmetric unit holds Ta at (0.000, 0.000, 0.000), Be at (0.250, 0.250, 0.750), Re at (0.250, 0.250, 0.250) and Sn at (0.000, 0.000, 0.500).